No. 1
Tb8ScBi6 after structural relaxation. Source: Alexandria via LeMat-Bulk, functional GGA-PBE.

Values from the calculation:
- DFT formation energy (eV/atom) = -0.370

```
data_Tb8ScBi6
_chemical_formula_sum 'Tb8 Sc1 Bi6'
_cell_length_a 11.4100
_cell_length_b 11.4100
_cell_length_c 4.3346
_cell_angle_alpha 90.00
_cell_angle_beta 90.00
_cell_angle_gamma 120.00
_space_group_name_H-M_alt 'P -3'
_space_group_IT_number 147
loop_
_space_group_symop_operation_xyz
'x,y,z'
'-x,-y,-z'
'-y,x-y,z'
'y,-x+y,-z'
'-x+y,-x,z'
'x-y,x,-z'
loop_
_atom_site_label
_atom_site_fract_x
_atom_site_fract_y
_atom_site_fract_z
Tb1 0.0432 0.7447 0.2614
Tb2 0.3333 0.6667 0.7389
Sc1 0.0000 0.0000 0.0000
Bi1 0.1164 0.4782 0.2399
```

***

No. 2
CuMo2H after structural relaxation. Source: Alexandria via LeMat-Bulk, functional GGA-PBE.

Values from the calculation:
- energy above the most stable polymorph in this dataset (eV/atom) = 0.389

```
data_CuMo2H
_chemical_formula_sum 'Cu4 Mo8 H4'
_cell_length_a 5.823
_cell_length_b 5.823
_cell_length_c 5.823
_cell_angle_alpha 90.00
_cell_angle_beta 90.00
_cell_angle_gamma 90.00
_space_group_name_H-M_alt 'F m -3 m'
_space_group_IT_number 225
_space_group_name_Hall '-F 4 2 3'
loop_
_atom_site_label
_atom_site_fract_x
_atom_site_fract_y
_atom_site_fract_z
Cu1 0.000 0.000 0.000
Mo1 0.250 0.250 0.250
H1 0.000 0.000 0.500
```

***

No. 3
Pr2CuBi after structural relaxation. Source: Alexandria via LeMat-Bulk, functional GGA-PBE.

Values from the calculation:
- energy above the most stable polymorph in this dataset (eV/atom) = 0.025
- DFT formation energy (eV/atom) = -0.372

```
data_Pr2CuBi
_chemical_formula_sum 'Pr6 Cu3 Bi3'
_cell_length_a 4.5578
_cell_length_b 4.5578
_cell_length_c 20.7695
_cell_angle_alpha 90.00
_cell_angle_beta 90.00
_cell_angle_gamma 120.00
_space_group_name_H-M_alt 'R -3 m'
_space_group_IT_number 166
_space_group_name_Hall '-R 3 2"'
loop_
_atom_site_label
_atom_site_fract_x
_atom_site_fract_y
_atom_site_fract_z
Pr1 0.0000 0.0000 0.2412
Cu1 0.0000 0.0000 0.5000
Bi1 0.0000 0.0000 0.0000
```

***

No. 4
PrNd2NpO8 after structural relaxation. Source: Alexandria via LeMat-Bulk, functional GGA-PBE.

Values from the calculation:
- E_tot (eV/atom) = -8.68

```
data_PrNd2NpO8
_chemical_formula_sum 'Pr1 Nd2 Np1 O8'
_cell_length_a 4.013
_cell_length_b 7.662
_cell_length_c 5.585
_cell_angle_alpha 90.00
_cell_angle_beta 94.84
_cell_angle_gamma 90.00
_space_group_name_H-M_alt 'P 1 2/m 1'
_space_group_IT_number 10
loop_
_space_group_symop_operation_xyz
'x,y,z'
'-x,-y,-z'
'-x,y,-z'
'x,-y,z'
loop_
_atom_site_label
_atom_site_fract_x
_atom_site_fract_y
_atom_site_fract_z
Pr1 0.000 0.000 0.000
Nd1 0.500 0.245 0.500
Np1 0.000 0.500 0.000
O1 0.035 0.286 0.768
O2 0.440 0.500 0.214
O3 0.492 0.000 0.745
```

***

No. 5
KMoRh after structural relaxation. Source: Alexandria via LeMat-Bulk, functional GGA-PBE.

Values from the calculation:
- energy above the most stable polymorph in this dataset (eV/atom) = 0.000
- DFT formation energy (eV/atom) = 0.683

```
data_KMoRh
_chemical_formula_sum 'K2 Mo2 Rh2'
_cell_length_a 2.863
_cell_length_b 3.456
_cell_length_c 13.930
_cell_angle_alpha 90.00
_cell_angle_beta 90.00
_cell_angle_gamma 90.00
_space_group_name_H-M_alt 'I m m 2'
_space_group_IT_number 44
loop_
_space_group_symop_operation_xyz
'x,y,z'
'-x,-y,z'
'-x,y,z'
'x,-y,z'
'x+1/2,y+1/2,z+1/2'
'-x+1/2,-y+1/2,z+1/2'
'-x+1/2,y+1/2,z+1/2'
'x+1/2,-y+1/2,z+1/2'
loop_
_atom_site_label
_atom_site_fract_x
_atom_site_fract_y
_atom_site_fract_z
K1 0.000 0.000 0.000
Mo1 0.000 0.000 0.721
Rh1 0.000 0.000 0.309
```

***

No. 6
SrGeSb2Te after structural relaxation. Source: Alexandria via LeMat-Bulk, functional GGA-PBE.

Values from the calculation:
- energy above the most stable polymorph in this dataset (eV/atom) = 0.000

```
data_SrGeSb2Te
_chemical_formula_sum 'Sr1 Ge1 Sb2 Te1'
_cell_length_a 5.429
_cell_length_b 5.429
_cell_length_c 5.596
_cell_angle_alpha 90.00
_cell_angle_beta 90.00
_cell_angle_gamma 90.00
_space_group_name_H-M_alt 'P 4/m m m'
_space_group_IT_number 123
_space_group_name_Hall '-P 4 2'
loop_
_atom_site_label
_atom_site_fract_x
_atom_site_fract_y
_atom_site_fract_z
Sr1 0.000 0.000 0.000
Ge1 0.500 0.500 0.500
Sb1 0.000 0.500 0.500
Te1 0.500 0.500 0.000
```

***

No. 7
Rb2PrBiSe4 after structural relaxation. Source: Alexandria via LeMat-Bulk, functional GGA-PBE.

Values from the calculation:
- E_tot (eV/atom) = -4.32

```
data_Rb2PrBiSe4
_chemical_formula_sum 'Rb2 Pr1 Bi1 Se4'
_cell_length_a 7.599
_cell_length_b 4.385
_cell_length_c 8.416
_cell_angle_alpha 90.00
_cell_angle_beta 107.48
_cell_angle_gamma 90.00
_space_group_name_H-M_alt 'P 1 2/m 1'
_space_group_IT_number 10
loop_
_space_group_symop_operation_xyz
'x,y,z'
'-x,-y,-z'
'-x,y,-z'
'x,-y,z'
loop_
_atom_site_label
_atom_site_fract_x
_atom_site_fract_y
_atom_site_fract_z
Rb1 0.000 0.000 0.000
Rb2 0.500 0.500 0.000
Pr1 0.000 0.500 0.500
Bi1 0.500 0.000 0.500
Se1 0.236 0.000 0.702
Se2 0.267 0.500 0.298
```

***

No. 8
Er2Ge3Pd2 after structural relaxation. Source: Alexandria via LeMat-Bulk, functional GGA-PBE.

Values from the calculation:
- energy above the most stable polymorph in this dataset (eV/atom) = 0.000
- DFT formation energy (eV/atom) = -0.836

```
data_Er2Ge3Pd2
_chemical_formula_sum 'Er8 Ge12 Pd8'
_cell_length_a 4.182
_cell_length_b 18.228
_cell_length_c 7.026
_cell_angle_alpha 90.00
_cell_angle_beta 90.00
_cell_angle_gamma 90.00
_space_group_name_H-M_alt 'C m c m'
_space_group_IT_number 63
_space_group_name_Hall '-C 2c 2'
loop_
_atom_site_label
_atom_site_fract_x
_atom_site_fract_y
_atom_site_fract_z
Er1 0.000 0.053 0.250
Er2 0.000 0.155 0.750
Ge1 0.000 0.223 0.250
Ge2 0.000 0.437 0.066
Pd1 0.000 0.306 0.548
```

***

No. 9
La2YTl after structural relaxation. Source: Alexandria via LeMat-Bulk, functional GGA-PBE.

Values from the calculation:
- energy above the most stable polymorph in this dataset (eV/atom) = 0.079
- DFT formation energy (eV/atom) = -0.140

```
data_La2YTl
_chemical_formula_sum 'La4 Y2 Tl2'
_cell_length_a 12.040
_cell_length_b 3.649
_cell_length_c 5.903
_cell_angle_alpha 90.00
_cell_angle_beta 99.99
_cell_angle_gamma 90.00
_space_group_name_H-M_alt 'C 1 2/m 1'
_space_group_IT_number 12
loop_
_space_group_symop_operation_xyz
'x,y,z'
'-x,-y,-z'
'-x,y,-z'
'x,-y,z'
'x+1/2,y+1/2,z'
'-x+1/2,-y+1/2,-z'
'-x+1/2,y+1/2,-z'
'x+1/2,-y+1/2,z'
loop_
_atom_site_label
_atom_site_fract_x
_atom_site_fract_y
_atom_site_fract_z
La1 0.236 0.000 0.228
Y1 0.000 0.000 0.500
Tl1 0.000 0.500 0.000
```

***

No. 10
ReRuBr2 after structural relaxation. Source: Alexandria via LeMat-Bulk, functional GGA-PBE.

Values from the calculation:
- energy above the most stable polymorph in this dataset (eV/atom) = 0.873

```
data_ReRuBr2
_chemical_formula_sum 'Re1 Ru1 Br2'
_cell_length_a 4.520
_cell_length_b 3.049
_cell_length_c 5.329
_cell_angle_alpha 90.00
_cell_angle_beta 113.67
_cell_angle_gamma 90.00
_space_group_name_H-M_alt 'P 1 2/m 1'
_space_group_IT_number 10
loop_
_space_group_symop_operation_xyz
'x,y,z'
'-x,-y,-z'
'-x,y,-z'
'x,-y,z'
loop_
_atom_site_label
_atom_site_fract_x
_atom_site_fract_y
_atom_site_fract_z
Re1 0.000 0.000 0.000
Ru1 0.000 0.500 0.500
Br1 0.500 0.000 0.500
Br2 0.500 0.500 0.000
```

***

No. 11
ScPH3 after structural relaxation. Source: Alexandria via LeMat-Bulk, functional GGA-PBE.

Values from the calculation:
- energy above the most stable polymorph in this dataset (eV/atom) = 0.000

```
data_ScPH3
_chemical_formula_sum 'Sc1 P1 H3'
_cell_length_a 3.688
_cell_length_b 3.688
_cell_length_c 3.688
_cell_angle_alpha 90.00
_cell_angle_beta 90.00
_cell_angle_gamma 90.00
_space_group_name_H-M_alt 'P m -3 m'
_space_group_IT_number 221
_space_group_name_Hall '-P 4 2 3'
loop_
_atom_site_label
_atom_site_fract_x
_atom_site_fract_y
_atom_site_fract_z
Sc1 0.000 0.000 0.000
P1 0.500 0.500 0.500
H1 0.000 0.000 0.500
```

***

No. 12
Cs2Ga5Pt3 after structural relaxation. Source: Alexandria via LeMat-Bulk, functional GGA-PBE.

Values from the calculation:
- DFT formation energy (eV/atom) = -0.290

```
data_Cs2Ga5Pt3
_chemical_formula_sum 'Cs8 Ga20 Pt12'
_cell_length_a 15.107
_cell_length_b 10.741
_cell_length_c 6.531
_cell_angle_alpha 90.00
_cell_angle_beta 115.51
_cell_angle_gamma 90.00
_space_group_name_H-M_alt 'C 1 2/c 1'
_space_group_IT_number 15
loop_
_space_group_symop_operation_xyz
'x,y,z'
'-x,-y,-z'
'-x,y,-z+1/2'
'x,-y,z+1/2'
'x+1/2,y+1/2,z'
'-x+1/2,-y+1/2,-z'
'-x+1/2,y+1/2,-z+1/2'
'x+1/2,-y+1/2,z+1/2'
loop_
_atom_site_label
_atom_site_fract_x
_atom_site_fract_y
_atom_site_fract_z
Cs1 0.134 0.235 0.134
Ga1 0.000 0.498 0.250
Ga2 0.113 0.120 0.613
Ga3 0.222 0.499 0.974
Pt1 0.000 0.000 0.250
Pt2 0.113 0.375 0.613
```